Entry 1:
Sr2MgPb | GGA-PBEsol | optimized geometry

For the energy of formation from the pure elements, the calculation gives -0.35 eV per atom.

abc: 4.163 5.673 5.674
angles: 90.00 90.00 90.00
Sites, in units of the cell vectors:
Pb 0.500 0.500 0.124
Sr 0.000 0.000 0.125
Sr 0.000 0.500 0.624
Mg 0.500 0.000 0.626

***

Entry 2:
BaNiBr2 | GGA-PBEsol | optimized geometry

The calculation puts the energy relative to the elements, uncorrected at -0.387 eV/atom. The calculation puts the relative energy among the computed polymorphs at 66 meV/atom.

abc: 3.931 3.931 9.102
angles: 77.53 77.53 60.00
Site moments in Bohr magnetons follow the coordinates.
Sites, in units of the cell vectors:
Ni 0.500 0.500 0.500  0.99
Ba 0.000 0.000 0.000  -0.01
Br 0.882 0.882 0.355  0.08
Br 0.118 0.118 0.645  0.08

***

Entry 3:
Sc2Os | GGA-PBEsol | optimized geometry

For the energy of formation from the pure elements, the calculation gives -0.31 eV per atom.

abc: 3.828 7.148 7.148
angles: 120.00 90.00 90.00
Sites, in units of the cell vectors:
Os 0.500 0.000 0.000
Os 0.000 0.667 0.333
Os 0.000 0.333 0.667
Sc 0.000 0.000 0.257
Sc 0.500 0.000 0.590
Sc 0.000 0.743 0.743
Sc 0.000 0.257 0.000
Sc 0.500 0.410 0.410
Sc 0.500 0.590 0.000

***

Number 1: mass density 5.0 g cm⁻³, E -2.7040 eV per atom, magnetic moment 0.000 μB per formula unit. Number 2: mass density 5.0 g cm⁻³, E -3.3983 eV per atom, magnetic moment 1.161 μB per formula unit. Number 3: mass density 8.2 g cm⁻³, E -8.7888 eV per atom, magnetic moment 0.000 μB per formula unit.